## Ca2GeN (PBE)

Data for crystalline Ca2GeN at its relaxed geometry.

Cell: 7.0581 7.0581 7.3894 Å, 90.00 90.00 90.00°
With the nearest neighbours (Å) after each atom.
Space group I-42d (No. 122)
Asymmetric unit:
Ca 0.1593 0.2500 0.1250  2 N 2.29
Ge 0.0000 0.0000 0.5000  8 Ca 3.12-3.47
N 0.0000 0.0000 0.0000  4 Ca 2.29

Summary:
ρ: 3.01 g cm⁻³
total moment: 0.00 μB/f.u.
formation energy from raw total energies: -0.265 eV per atom
raw total energy: -4.5015 eV per atom